Below is an optimized crystal structure of CoReNF2, with properties calculated at the PBE with a Hubbard U level.

The value obtained for the calculated volume is 74 Å³ per cell. Its energy above the most stable polymorph in this dataset is 702 meV/atom. As for the raw total energy: -5.29 eV per atom. As for the crystal system: tetragonal. The total moment is 4.68 μB per cell.

a b c (Å): 4.4641 4.4641 3.7151
angles (deg): 90.00 90.00 90.00
Last column: nearest neighbours and their distance in Å.
Sites, in units of the cell vectors:
Co  0.0000  0.0000  0.0000  8 F 2.90, 4 Re 3.16
Re  0.5000  0.5000  0.0000  2 N 1.86
N  0.5000  0.5000  0.5000  2 Re 1.86
F  0.0000  0.5000  0.5000  2 N 2.23
F  0.5000  0.0000  0.5000  2 N 2.23